(1)
Material: Tm2Al3ZnAu4
Method: DFT, GGA-PBE
State: optimized geometry

a b c (Å): 4.292 4.292 10.642
angles (deg): 90.00 90.00 90.00
Space group P-4m2 (No. 115)
Asymmetric unit:
Tm  0.000  0.500  0.246 x2
Al  0.000  0.000  0.000 x1
Al  0.000  0.500  0.632 x2
Zn  0.500  0.500  0.000 x1
Au  0.000  0.000  0.500 x1
Au  0.000  0.500  0.861 x2
Au  0.500  0.500  0.500 x1

Calculated values
calculated formation energy	-0.612	eV/atom
calculated total energy	-4.067	eV per atom
total magnetic moment	0.000	μB per formula unit


(2)
Material: TmAlZnAu2
Method: DFT, GGA-PBE
State: optimized geometry

a b c (Å): 5.443 13.619 5.388
angles (deg): 90.00 90.00 90.00
Space group Cmme (No. 67)
Asymmetric unit:
Tm  0.000  0.250  0.230 x4
Al  0.000  0.000  0.000 x4
Zn  0.250  0.000  0.500 x4
Au  0.000  0.148  0.719 x8

Calculated values
calculated formation energy	-0.465	eV/atom
calculated total energy	-3.673	eV per atom
total magnetic moment	0.000	μB per formula unit